First-principles (meta-GGA SCAN) data for a PBEsol-optimized structure of BaZnIn3, as listed in Alexandria via LeMat-Bulk.

Lattice parameters (Å, degrees): 6.786 6.786 6.786 139.23 139.23 59.02
Fractional coordinates of all 5 atoms:
1 Ba 0.000 0.000 0.000
2 Zn 0.384 0.384 0.000
3 In 0.261 0.761 0.500
4 In 0.608 0.608 0.000
5 In 0.761 0.261 0.500

Total energy (eV/atom): -31.12
D(E_F) (states/eV/cell): 1.669
Spin magnetization (μB per cell): 0.00